VASP calculation (PBE) on a relaxed structure of Sm2ZrTl3Te6.

Unit cell a=7.589 b=7.589 c=8.642 alpha=98.44 beta=98.44 gamma=119.93
Fractional positions:
Sm (0.166, 0.834, 0.000)
Sm (0.834, 0.166, 0.000)
Zr (0.500, 0.500, 0.000)
Tl (0.000, 0.000, 0.500)
Tl (0.327, 0.673, 0.500)
Tl (0.673, 0.327, 0.500)
Te (0.113, 0.429, 0.786)
Te (0.257, 0.257, 0.219)
Te (0.429, 0.113, 0.786)
Te (0.571, 0.887, 0.214)
Te (0.743, 0.743, 0.781)
Te (0.887, 0.571, 0.214)

Properties
- E_tot (eV per atom) = -4.56
- uncorrected formation energy (eV/atom) = -0.901

=====

VASP calculation (PBE) on a relaxed structure of CsTlF3.

Unit cell a=4.299 b=4.299 c=15.596 alpha=90.00 beta=90.00 gamma=120.00
Fractional positions:
Cs (0.000, 0.000, 0.000)
Cs (0.000, 0.000, 0.500)
Tl (0.333, 0.667, 0.250)
Tl (0.667, 0.333, 0.750)
F (0.000, 0.000, 0.250)
F (0.000, 0.000, 0.750)
F (0.333, 0.667, 0.104)
F (0.333, 0.667, 0.396)
F (0.667, 0.333, 0.604)
F (0.667, 0.333, 0.896)

Properties
- E_tot (eV per atom) = -3.88
- uncorrected formation energy (eV/atom) = -2.112

=====

VASP calculation (PBE) on a relaxed structure of ReSi.

Unit cell a=2.804 b=2.804 c=7.599 alpha=90.00 beta=90.00 gamma=90.00
Fractional positions:
Re (0.250, 0.250, 0.117)
Re (0.750, 0.750, 0.883)
Si (0.250, 0.250, 0.652)
Si (0.750, 0.750, 0.348)

Properties
- E_tot (eV per atom) = -8.77
- uncorrected formation energy (eV/atom) = 0.161

=====

VASP calculation (PBE) on a relaxed structure of BaLiOs2.

Unit cell a=9.764 b=9.764 c=9.764 alpha=152.40 beta=152.40 gamma=39.43
Fractional positions:
Ba (0.000, 0.000, 0.000)
Ba (0.750, 0.250, 0.500)
Li (0.250, 0.750, 0.500)
Li (0.500, 0.500, 0.000)
Os (0.320, 0.625, 0.195)
Os (0.375, 0.570, 0.695)
Os (0.430, 0.125, 0.805)
Os (0.875, 0.680, 0.305)

Properties
- E_tot (eV per atom) = -5.70
- formation energy from the elements (meV/atom) = 872
- distance to the lowest polymorph of the same formula (meV per atom) = 636.0

=====

VASP calculation (PBE) on a relaxed structure of BeCdIr2.

Unit cell a=2.842 b=3.825 c=5.495 alpha=90.00 beta=103.46 gamma=90.00
Fractional positions:
Be (0.000, 0.000, 0.000)
Cd (0.000, 0.000, 0.500)
Ir (0.355, 0.500, 0.208)
Ir (0.645, 0.500, 0.792)

Properties
- E_tot (eV per atom) = -5.65
- formation energy from the elements (meV/atom) = -57
- distance to the lowest polymorph of the same formula (meV per atom) = 30.7

=====

VASP calculation (PBE) on a relaxed structure of Tl2CdInHg2.

Unit cell a=5.445 b=9.110 c=6.769 alpha=90.00 beta=90.00 gamma=90.00
Fractional positions:
Tl (0.000, 0.061, 0.000)
Tl (0.000, 0.939, 0.500)
Tl (0.500, 0.159, 0.303)
Tl (0.500, 0.841, 0.803)
Cd (0.000, 0.283, 0.609)
Cd (0.000, 0.717, 0.109)
In (0.500, 0.494, 0.011)
In (0.500, 0.506, 0.511)
Hg (0.000, 0.389, 0.184)
Hg (0.000, 0.611, 0.684)
Hg (0.500, 0.199, 0.793)
Hg (0.500, 0.801, 0.293)

Properties
- E_tot (eV per atom) = -1.49
- formation energy from the elements (meV/atom) = 12

=====

VASP calculation (PBE) on a relaxed structure of Ti5AlIn4.

Unit cell a=2.958 b=2.958 c=21.227 alpha=90.00 beta=90.00 gamma=90.00
Fractional positions:
Ti (0.000, 0.000, 0.000)
Ti (0.000, 0.000, 0.204)
Ti (0.000, 0.000, 0.411)
Ti (0.000, 0.000, 0.589)
Ti (0.000, 0.000, 0.796)
Al (0.500, 0.500, 0.500)
In (0.500, 0.500, 0.102)
In (0.500, 0.500, 0.307)
In (0.500, 0.500, 0.693)
In (0.500, 0.500, 0.898)

Properties
- E_tot (eV per atom) = -5.61
- formation energy from the elements (meV/atom) = -196
- distance to the lowest polymorph of the same formula (meV per atom) = 0.0

=====

VASP calculation (PBE) on a relaxed structure of KAl2Co.

Unit cell a=4.268 b=4.268 c=6.733 alpha=108.50 beta=108.50 gamma=59.88
Fractional positions:
K (0.000, 0.000, 0.000)
Al (0.518, 0.518, 0.552)
Al (0.819, 0.819, 0.455)
Co (0.174, 0.174, 0.519)

Properties
- E_tot (eV per atom) = -3.90
- formation energy from the elements (meV/atom) = 25
- distance to the lowest polymorph of the same formula (meV per atom) = 0.0

=====

VASP calculation (PBE) on a relaxed structure of PrEr2Ge2Pt7.

Unit cell a=4.092 b=4.092 c=14.130 alpha=97.00 beta=97.00 gamma=89.14
Fractional positions:
Pr (0.000, 0.000, 0.000)
Er (0.131, 0.131, 0.361)
Er (0.869, 0.869, 0.639)
Ge (0.389, 0.389, 0.737)
Ge (0.611, 0.611, 0.263)
Pt (0.070, 0.569, 0.163)
Pt (0.358, 0.358, 0.565)
Pt (0.431, 0.930, 0.837)
Pt (0.500, 0.500, 0.000)
Pt (0.569, 0.070, 0.163)
Pt (0.642, 0.642, 0.435)
Pt (0.930, 0.431, 0.837)

Properties
- E_tot (eV per atom) = -6.35
- formation energy from the elements (meV/atom) = -900

=====

VASP calculation (PBE) on a relaxed structure of Cd2HgPb.

Unit cell a=3.947 b=3.947 c=6.733 alpha=90.00 beta=90.00 gamma=90.00
Fractional positions:
Cd (0.000, 0.000, 0.000)
Cd (0.500, 0.500, 0.233)
Hg (0.000, 0.000, 0.457)
Pb (0.500, 0.500, 0.733)

Properties
- E_tot (eV per atom) = -1.42
- formation energy from the elements (meV/atom) = 40
- distance to the lowest polymorph of the same formula (meV per atom) = 0.0

=====

VASP calculation (PBE) on a relaxed structure of MgTiSn2.

Unit cell a=4.602 b=4.602 c=4.026 alpha=90.00 beta=90.00 gamma=90.00
Fractional positions:
Mg (0.000, 0.000, 0.000)
Ti (0.500, 0.500, 0.000)
Sn (0.000, 0.500, 0.500)
Sn (0.500, 0.000, 0.500)

Properties
- E_tot (eV per atom) = -4.46
- formation energy from the elements (meV/atom) = -84